A relaxed structure of TbPmSb. Source: Alexandria, functional PBE-GGA.

The structure belongs to space group C2/m (No. 12); the cell edges are 10.995, 4.090 and 8.161 Å and the angles 90.00°, 111.96° and 90.00°. The asymmetric unit holds Tb at (0.155, 0.000, 0.075), Pm at (0.152, 0.000, 0.575) and Sb at (0.001, 0.500, 0.245).

The excess energy over the best structure of this formula in the dataset comes out at 52 kJ/mol of formula units. As for the uncorrected energy: -5.158 eV/atom. The value obtained for the formation energy (no corrections) is -657 meV/atom. The calculation puts the theoretical density at 8.306 g/cm³.

=====

A relaxed structure of TbPm2Sb. Source: Alexandria, functional PBE-GGA.

The structure belongs to space group Cmcm (No. 63); the cell edges are 4.604, 23.171 and 4.591 Å and the angles 90.00°, 90.00° and 90.00°. The asymmetric unit holds Tb at (0.000, 0.195, 0.250), Pm at (0.000, 0.068, 0.750), Pm at (0.000, 0.438, 0.750) and Sb at (0.000, 0.329, 0.250).

The excess energy over the best structure of this formula in the dataset comes out at 0 kJ/mol of formula units. As for the uncorrected energy: -5.109 eV/atom. The value obtained for the formation energy (no corrections) is -546 meV/atom. The calculation puts the theoretical density at 7.740 g/cm³.